! CaTb4Nd3 (PBE-GGA, relaxed); values from VASP
&SYSTEM
  ibrav = 0, nat = 16, ntyp = 3
/
ATOMIC_SPECIES
Ca 40.08 Ca.upf
Tb 158.93 Tb.upf
Nd 144.24 Nd.upf
CELL_PARAMETERS angstrom
26.437 0.000 0.000
0.000 5.778 0.000
-0.004 0.000 3.641
ATOMIC_POSITIONS crystal
Ca 0.000 0.000 0.000
Ca 0.500 0.500 0.000
Tb 0.105 0.000 0.500
Tb 0.224 0.000 0.499
Tb 0.276 0.500 0.501
Tb 0.395 0.500 0.500
Tb 0.605 0.500 0.500
Tb 0.724 0.500 0.499
Tb 0.776 0.000 0.501
Tb 0.895 0.000 0.500
Nd 0.000 0.500 0.500
Nd 0.154 0.500 0.000
Nd 0.346 0.000 0.000
Nd 0.500 0.000 0.500
Nd 0.654 0.000 0.000
Nd 0.846 0.500 0.000
! DFT formation energy   0.2264 eV/atom
! Electronic total energy   -66.03 eV per cell